No. 1
Entry from Alexandria: an optimized crystal structure of CaMnSi4O10 (PBEsol).

Output
As for the formation energy without anion corrections: -2.6579 eV per atom. The calculated volume is 840.1 Å³ per cell.

Cell lengths 7.453, 7.453, 15.126 Å; angles 90.00, 90.00, 90.00 degrees
Each line ends with the local moment (μB).
Fractional coordinates of all 64 atoms:
Ca: 0.500 0.500 0.500  0.01
Ca: 0.000 0.000 0.500  0.01
Ca: 0.000 0.000 0.000  0.01
Ca: 0.500 0.500 0.000  0.01
Mn: 0.500 0.000 0.571  4.43
Mn: 0.000 0.500 0.929  4.43
Mn: 0.000 0.500 0.429  4.43
Mn: 0.500 0.000 0.071  4.43
Si: 0.170 0.251 0.647  0.01
Si: 0.830 0.749 0.647  0.01
Si: 0.251 0.170 0.853  0.01
Si: 0.751 0.330 0.647  0.01
Si: 0.249 0.670 0.647  0.01
Si: 0.330 0.751 0.853  0.01
Si: 0.670 0.249 0.853  0.01
Si: 0.749 0.830 0.853  0.01
Si: 0.330 0.249 0.353  0.01
Si: 0.670 0.751 0.353  0.01
Si: 0.249 0.330 0.147  0.01
Si: 0.749 0.170 0.353  0.01
Si: 0.251 0.830 0.353  0.01
Si: 0.170 0.749 0.147  0.01
Si: 0.830 0.251 0.147  0.01
Si: 0.751 0.670 0.147  0.01
O: 0.247 0.103 0.580  0.03
O: 0.753 0.897 0.580  0.03
O: 0.103 0.247 0.920  0.03
O: 0.603 0.253 0.580  0.03
O: 0.397 0.747 0.580  0.03
O: 0.253 0.603 0.920  0.03
O: 0.747 0.397 0.920  0.03
O: 0.897 0.753 0.920  0.03
O: 0.253 0.397 0.420  0.03
O: 0.747 0.603 0.420  0.03
O: 0.397 0.253 0.080  0.03
O: 0.897 0.247 0.420  0.03
O: 0.103 0.753 0.420  0.03
O: 0.247 0.897 0.080  0.03
O: 0.753 0.103 0.080  0.03
O: 0.252 0.047 0.373  0.00
O: 0.603 0.747 0.080  0.03
O: 0.752 0.547 0.627  0.00
O: 0.453 0.248 0.873  0.00
O: 0.953 0.252 0.627  0.00
O: 0.047 0.748 0.627  0.00
O: 0.252 0.953 0.873  0.00
O: 0.748 0.047 0.873  0.00
O: 0.547 0.752 0.873  0.00
O: 0.706 0.706 0.250  0.00
O: 0.794 0.206 0.250  0.00
O: 0.206 0.794 0.250  0.00
O: 0.294 0.294 0.250  0.00
O: 0.794 0.794 0.750  0.00
O: 0.706 0.294 0.750  0.00
O: 0.294 0.706 0.750  0.00
O: 0.206 0.206 0.750  0.00
O: 0.953 0.748 0.127  0.00
O: 0.752 0.453 0.127  0.00
O: 0.248 0.547 0.127  0.00
O: 0.453 0.752 0.373  0.00
O: 0.547 0.248 0.373  0.00
O: 0.047 0.252 0.127  0.00
O: 0.748 0.953 0.373  0.00
O: 0.248 0.453 0.627  0.00

***

No. 2
Entry from Alexandria: an optimized crystal structure of CaMn2Si4O12 (PBEsol).

Output
As for the formation energy without anion corrections: -2.5060 eV per atom. The calculated volume is 212.6 Å³ per cell.

Cell lengths 5.360, 6.419, 6.419 Å; angles 84.56, 79.16, 79.16 degrees
Each line ends with the local moment (μB).
Fractional coordinates of all 19 atoms:
Ca: 0.000 0.700 0.300  0.00
Mn: 0.500 0.911 0.089  3.61
Mn: 0.000 0.099 0.901  3.61
Si: 0.998 0.614 0.794  0.01
Si: 0.002 0.206 0.386  0.01
Si: 0.489 0.794 0.619  0.01
Si: 0.511 0.381 0.206  0.01
O: 0.769 0.640 0.649  0.01
O: 0.231 0.351 0.360  0.01
O: 0.744 0.379 0.342  0.01
O: 0.256 0.658 0.621  0.01
O: 0.038 0.381 0.910  0.03
O: 0.962 0.090 0.619  0.03
O: 0.435 0.625 0.110  0.03
O: 0.565 0.890 0.375  0.03
O: 0.405 0.953 0.813  0.06
O: 0.595 0.187 0.047  0.06
O: 0.916 0.803 0.962  0.04
O: 0.084 0.038 0.197  0.04

***

No. 3
Entry from Alexandria: an optimized crystal structure of Ca3Mn2Si3O12 (PBEsol).

Output
As for the formation energy without anion corrections: -2.6752 eV per atom. The calculated volume is 872.8 Å³ per cell.

Cell lengths 10.432, 10.432, 10.432 Å; angles 107.12, 110.66, 110.66 degrees
Each line ends with the local moment (μB).
Fractional coordinates of all 80 atoms:
Ca: 0.871 0.625 0.996  0.00
Ca: 0.129 0.125 0.754  0.00
Ca: 0.871 0.746 0.375  0.00
Ca: 0.129 0.504 0.875  0.00
Ca: 0.371 0.625 0.496  0.00
Ca: 0.500 0.500 0.000  0.00
Ca: 0.500 0.000 0.500  0.00
Ca: 0.629 0.125 0.254  0.00
Ca: 0.000 0.250 0.250  0.00
Ca: 0.371 0.246 0.375  0.00
Ca: 0.629 0.004 0.875  0.00
Ca: 0.000 0.750 0.750  0.00
Mn: 0.250 0.875 0.625  3.62
Mn: 0.250 0.875 0.125  3.62
Mn: 0.250 0.375 0.625  3.62
Mn: 0.250 0.375 0.125  3.62
Mn: 0.750 0.875 0.125  3.62
Mn: 0.750 0.375 0.625  3.62
Mn: 0.750 0.875 0.625  3.62
Mn: 0.750 0.375 0.125  3.62
Si: 0.000 0.500 0.500  0.01
Si: 0.500 0.250 0.750  0.01
Si: 0.876 0.125 0.501  0.02
Si: 0.624 0.499 0.375  0.02
Si: 0.124 0.625 0.249  0.02
Si: 0.376 0.751 0.875  0.02
Si: 0.500 0.750 0.250  0.01
Si: 0.876 0.251 0.875  0.02
Si: 0.124 0.999 0.375  0.02
Si: 0.376 0.125 0.001  0.02
Si: 0.624 0.625 0.749  0.02
Si: 0.000 0.000 0.000  0.01
O: 0.949 0.962 0.818  0.01
O: 0.237 0.756 0.912  0.06
O: 0.132 0.674 0.112  0.01
O: 0.051 0.869 0.013  0.01
O: 0.051 0.682 0.538  0.01
O: 0.656 0.494 0.231  0.06
O: 0.644 0.763 0.212  0.01
O: 0.062 0.270 0.638  0.01
O: 0.356 0.568 0.119  0.01
O: 0.938 0.862 0.230  0.01
O: 0.344 0.269 0.006  0.06
O: 0.237 0.981 0.825  0.06
O: 0.062 0.292 0.924  0.01
O: 0.656 0.662 0.925  0.06
O: 0.132 0.958 0.520  0.01
O: 0.763 0.588 0.744  0.06
O: 0.868 0.388 0.826  0.01
O: 0.356 0.288 0.737  0.01
O: 0.644 0.381 0.932  0.01
O: 0.144 0.182 0.131  0.01
O: 0.344 0.575 0.838  0.06
O: 0.868 0.980 0.542  0.01
O: 0.938 0.576 0.208  0.01
O: 0.949 0.487 0.631  0.01
O: 0.551 0.788 0.432  0.01
O: 0.263 0.994 0.338  0.06
O: 0.368 0.076 0.138  0.01
O: 0.449 0.881 0.237  0.01
O: 0.449 0.068 0.712  0.01
O: 0.844 0.256 0.019  0.06
O: 0.856 0.987 0.038  0.01
O: 0.438 0.480 0.612  0.01
O: 0.551 0.263 0.619  0.01
O: 0.562 0.174 0.042  0.01
O: 0.632 0.770 0.708  0.01
O: 0.737 0.075 0.731  0.06
O: 0.156 0.175 0.412  0.06
O: 0.856 0.369 0.318  0.01
O: 0.144 0.462 0.513  0.01
O: 0.632 0.362 0.424  0.01
O: 0.737 0.162 0.506  0.06
O: 0.368 0.792 0.730  0.01
O: 0.844 0.088 0.325  0.06
O: 0.438 0.458 0.326  0.01
O: 0.263 0.769 0.425  0.06
O: 0.156 0.481 0.244  0.06
O: 0.562 0.888 0.020  0.01
O: 0.763 0.675 0.519  0.06

***

No. 4
Entry from Alexandria: an optimized crystal structure of Ca3Mn2Si4O14 (PBEsol).

Output
As for the formation energy without anion corrections: -2.6946 eV per atom. The calculated volume is 540.6 Å³ per cell.

Cell lengths 7.631, 9.246, 9.708 Å; angles 63.73, 66.86, 65.63 degrees
Each line ends with the local moment (μB).
Fractional coordinates of all 46 atoms:
Ca: 0.771 0.935 0.458  0.00
Ca: 0.164 0.565 0.042  0.00
Ca: 0.836 0.435 0.958  0.00
Ca: 0.344 0.250 0.750  0.00
Ca: 0.229 0.065 0.542  0.00
Ca: 0.656 0.750 0.250  0.00
Mn: 0.785 0.250 0.750  3.62
Mn: 0.215 0.750 0.250  3.62
Mn: 0.000 0.000 0.000  3.61
Mn: 0.000 0.500 0.500  3.61
Si: 0.889 0.304 0.342  0.01
Si: 0.466 0.804 0.842  0.01
Si: 0.787 0.893 0.855  0.01
Si: 0.465 0.393 0.355  0.01
Si: 0.534 0.196 0.158  0.01
Si: 0.213 0.107 0.145  0.01
Si: 0.535 0.607 0.645  0.01
Si: 0.111 0.696 0.658  0.01
O: 0.706 0.679 0.494  0.04
O: 0.108 0.585 0.284  0.04
O: 0.354 0.915 0.186  0.02
O: 0.024 0.085 0.784  0.04
O: 0.056 0.687 0.518  0.06
O: 0.493 0.376 0.183  0.00
O: 0.545 0.415 0.686  0.02
O: 0.261 0.813 0.982  0.06
O: 0.507 0.624 0.817  0.00
O: 0.325 0.742 0.591  0.00
O: 0.892 0.415 0.716  0.04
O: 0.944 0.313 0.482  0.06
O: 0.052 0.124 0.317  0.00
O: 0.120 0.179 0.994  0.04
O: 0.342 0.242 0.091  0.00
O: 0.739 0.187 0.018  0.06
O: 0.528 0.041 0.323  0.00
O: 0.675 0.258 0.409  0.00
O: 0.892 0.459 0.177  0.00
O: 0.658 0.758 0.909  0.00
O: 0.948 0.876 0.683  0.00
O: 0.976 0.915 0.216  0.04
O: 0.108 0.541 0.823  0.00
O: 0.646 0.085 0.814  0.02
O: 0.472 0.959 0.677  0.00
O: 0.455 0.585 0.314  0.02
O: 0.880 0.821 0.006  0.04
O: 0.294 0.321 0.506  0.04

***

No. 5
Entry from Alexandria: an optimized crystal structure of Ca3SmMn4O12 (PBEsol).

Output
As for the formation energy without anion corrections: -2.4210 eV per atom. The calculated volume is 209.2 Å³ per cell.

Cell lengths 5.267, 5.327, 7.455 Å; angles 90.00, 90.00, 89.93 degrees
Each line ends with the local moment (μB).
Fractional coordinates of all 20 atoms:
Ca: 0.991 0.043 0.500  0.01
Ca: 0.492 0.458 0.000  0.01
Ca: 0.010 0.959 0.000  0.01
Sm: 0.509 0.545 0.500  0.03
Mn: 0.499 0.002 0.753  2.89
Mn: 0.001 0.500 0.247  2.89
Mn: 0.499 0.002 0.247  2.89
Mn: 0.001 0.500 0.753  2.89
O: 0.784 0.783 0.706  0.05
O: 0.711 0.289 0.288  0.05
O: 0.211 0.211 0.211  0.07
O: 0.293 0.708 0.783  0.06
O: 0.211 0.211 0.789  0.07
O: 0.293 0.708 0.217  0.06
O: 0.784 0.783 0.294  0.05
O: 0.711 0.289 0.712  0.05
O: 0.427 0.990 0.500  0.05
O: 0.072 0.485 0.500  0.05
O: 0.576 0.013 0.000  0.07
O: 0.927 0.520 0.000  0.07

***

No. 6
Entry from Alexandria: an optimized crystal structure of Sr3CaMn2O8 (PBEsol).

Output
As for the formation energy without anion corrections: -2.4875 eV per atom. The calculated volume is 172.7 Å³ per cell.

Cell lengths 3.760, 3.760, 12.220 Å; angles 90.00, 90.00, 90.00 degrees
Each line ends with the local moment (μB).
Fractional coordinates of all 14 atoms:
Sr: 0.000 0.000 0.643  0.01
Sr: 0.000 0.000 0.352  0.01
Sr: 0.500 0.500 0.858  0.01
Ca: 0.500 0.500 0.142  0.01
Mn: 0.000 0.000 0.004  2.61
Mn: 0.500 0.500 0.496  2.59
O: 0.500 0.500 0.337  0.04
O: 0.000 0.000 0.846  0.04
O: 0.000 0.000 0.158  0.04
O: 0.500 0.500 0.654  0.03
O: 0.500 0.000 0.007  0.07
O: 0.000 0.500 0.007  0.07
O: 0.000 0.500 0.497  0.08
O: 0.500 0.000 0.497  0.08

***

No. 7
Entry from Alexandria: an optimized crystal structure of Sr6CaMn4O13 (PBEsol).

Output
As for the formation energy without anion corrections: -2.3967 eV per atom. The calculated volume is 652.0 Å³ per cell.

Cell lengths 6.767, 9.677, 9.980 Å; angles 90.00, 93.96, 90.00 degrees
Each line ends with the local moment (μB).
Fractional coordinates of all 48 atoms:
Sr: 0.338 0.641 0.445  0.01
Sr: 0.662 0.141 0.555  0.01
Sr: 0.660 0.361 0.052  0.01
Sr: 0.340 0.861 0.948  0.01
Sr: 0.164 0.513 0.086  0.01
Sr: 0.836 0.013 0.914  0.01
Sr: 0.832 0.490 0.411  0.01
Sr: 0.168 0.990 0.589  0.01
Sr: 0.502 0.500 0.750  0.02
Sr: 0.498 0.000 0.250  0.02
Sr: 0.006 0.677 0.714  0.01
Sr: 0.994 0.177 0.286  0.01
Ca: 0.996 0.320 0.792  0.01
Ca: 0.004 0.820 0.208  0.01
Mn: 0.775 0.676 0.971  3.35
Mn: 0.225 0.176 0.029  3.35
Mn: 0.225 0.322 0.536  3.36
Mn: 0.775 0.822 0.464  3.36
Mn: 0.573 0.670 0.176  3.37
Mn: 0.427 0.170 0.824  3.37
Mn: 0.423 0.334 0.327  3.36
Mn: 0.577 0.834 0.673  3.36
O: 0.855 0.522 0.877  0.07
O: 0.145 0.022 0.123  0.07
O: 0.149 0.466 0.639  0.07
O: 0.851 0.966 0.361  0.07
O: 0.507 0.606 0.979  0.16
O: 0.493 0.106 0.021  0.16
O: 0.492 0.395 0.524  0.16
O: 0.508 0.895 0.476  0.16
O: 0.841 0.596 0.170  0.13
O: 0.159 0.096 0.830  0.13
O: 0.159 0.411 0.336  0.13
O: 0.841 0.911 0.664  0.13
O: 0.677 0.673 0.580  0.03
O: 0.323 0.173 0.420  0.03
O: 0.321 0.328 0.917  0.02
O: 0.679 0.828 0.083  0.02
O: 0.330 0.749 0.204  0.07
O: 0.670 0.249 0.796  0.07
O: 0.660 0.252 0.295  0.07
O: 0.340 0.752 0.705  0.07
O: 0.010 0.769 0.954  0.07
O: 0.990 0.269 0.046  0.07
O: 0.992 0.228 0.556  0.07
O: 0.008 0.728 0.444  0.07
O: 0.500 0.501 0.251  0.10
O: 0.500 0.001 0.749  0.10

***

No. 8
Entry from Alexandria: an optimized crystal structure of SrCa3TiMn3O12 (PBEsol).

Output
As for the formation energy without anion corrections: -2.4837 eV per atom. The calculated volume is 215.5 Å³ per cell.

Cell lengths 3.761, 7.570, 7.570 Å; angles 89.46, 90.00, 90.00 degrees
Each line ends with the local moment (μB).
Fractional coordinates of all 20 atoms:
Sr: 0.000 0.252 0.252  0.01
Ca: 0.000 0.765 0.765  0.01
Ca: 0.000 0.765 0.260  0.01
Ca: 0.000 0.260 0.765  0.01
Ti: 0.500 0.509 0.509  0.02
Mn: 0.500 0.006 0.006  2.65
Mn: 0.500 0.004 0.509  2.57
Mn: 0.500 0.509 0.004  2.57
O: 0.000 0.992 0.992  0.06
O: 0.000 0.495 0.495  0.02
O: 0.000 0.491 0.989  0.05
O: 0.000 0.989 0.491  0.05
O: 0.500 0.989 0.245  0.07
O: 0.500 0.245 0.989  0.07
O: 0.500 0.504 0.242  0.07
O: 0.500 0.242 0.504  0.07
O: 0.500 0.987 0.748  0.08
O: 0.500 0.748 0.987  0.08
O: 0.500 0.498 0.754  0.02
O: 0.500 0.754 0.498  0.02

***

No. 9
Entry from Alexandria: an optimized crystal structure of Sr3CaTi3MnO12 (PBEsol).

Output
As for the formation energy without anion corrections: -2.9675 eV per atom. The calculated volume is 456.2 Å³ per cell.

Cell lengths 7.663, 7.672, 7.759 Å; angles 90.00, 90.00, 90.00 degrees
Each line ends with the local moment (μB).
Fractional coordinates of all 40 atoms:
Sr: 0.753 0.750 0.753  0.00
Sr: 0.753 0.250 0.754  0.00
Sr: 0.753 0.250 0.246  0.00
Sr: 0.247 0.750 0.754  0.00
Sr: 0.247 0.250 0.753  0.00
Sr: 0.247 0.750 0.246  0.00
Ca: 0.752 0.750 0.245  0.00
Ca: 0.248 0.250 0.245  0.00
Ti: 0.000 0.000 0.494  0.01
Ti: 0.000 0.500 0.494  0.01
Ti: 0.500 0.000 0.001  0.01
Ti: 0.500 0.500 0.001  0.01
Ti: 0.500 0.000 0.498  0.01
Ti: 0.500 0.500 0.498  0.01
Mn: 0.000 0.000 0.000  2.60
Mn: 0.000 0.500 0.000  2.60
O: 0.755 0.027 0.000  0.03
O: 0.755 0.473 0.000  0.03
O: 0.751 0.958 0.492  0.01
O: 0.751 0.542 0.492  0.01
O: 0.245 0.973 0.000  0.03
O: 0.245 0.527 0.000  0.03
O: 0.249 0.042 0.492  0.01
O: 0.249 0.458 0.492  0.01
O: 0.000 0.000 0.756  0.04
O: 0.000 0.500 0.756  0.04
O: 0.000 0.000 0.246  0.02
O: 0.000 0.500 0.246  0.02
O: 0.500 0.000 0.751  0.01
O: 0.500 0.500 0.751  0.01
O: 0.500 0.000 0.250  0.01
O: 0.500 0.500 0.250  0.01
O: 0.963 0.750 0.010  0.02
O: 0.037 0.250 0.010  0.02
O: 0.038 0.750 0.503  0.01
O: 0.962 0.250 0.503  0.01
O: 0.529 0.750 0.007  0.01
O: 0.471 0.250 0.007  0.01
O: 0.460 0.750 0.502  0.00
O: 0.540 0.250 0.502  0.00